1.
Compound: LiHoSnPb
Source: Alexandria via LeMat-Bulk
Functional: PBE
Structure: optimized geometry

Structure (POSCAR):
```
LiHoSnPb
1.0
-2.3875 -2.0270 4.2082
2.8070 -2.5059 3.6551
0.7035 2.1805 4.7190
Pb Ho Sn Li
1 1 1 1
Direct
0.7500 0.7500 0.7500
0.0000 0.0000 0.0000
0.2500 0.2500 0.2500
0.5000 0.5000 0.5000
```

total moment = 0.0000 μB/atom
density = 8.10 g/cm3
space group = F-43m (216)
energy of formation from the pure elements = -342 meV per atom
calculated volume = 25.5 A^3/atom



2.
Compound: FeSiH2
Source: Alexandria via LeMat-Bulk
Functional: PBE
Structure: optimized geometry

Structure (POSCAR):
```
FeSiH2
1.0
0.0000 2.4465 2.4465
2.4465 0.0000 2.4465
2.4465 2.4465 0.0000
Fe H Si
1 2 1
Direct
0.5000 0.5000 0.5000
0.2500 0.2500 0.2500
0.7500 0.7500 0.7500
0.0000 0.0000 0.0000
```

total moment = 0.0000 μB/atom
density = 4.87 g/cm3
space group = Fm-3m (225)
VASP energy = -17.580 eV/f.u.
calculated volume = 7.3 A^3/atom



3.
Compound: Li4CaMg2
Source: Alexandria via LeMat-Bulk
Functional: PBE
Structure: optimized geometry

Structure (POSCAR):
```
Li4CaMg2
1.0
6.4034 -0.3841 0.0000
-2.9365 5.7034 0.0000
-1.7335 -2.6597 5.5743
Mg Li Ca
2 4 1
Direct
0.7500 0.2500 0.5000
0.2500 0.7500 0.5000
0.5000 0.2760 0.7760
0.7240 0.5000 0.2240
0.5000 0.7240 0.2240
0.2760 0.5000 0.7760
0.0000 0.0000 0.0000
```

total moment = 0.0000 μB/atom
density = 0.98 g/cm3
space group = I4/mmm (139)
energy of formation from the pure elements = 312 meV per atom
calculated volume = 28.2 A^3/atom



4.
Compound: TiCu2Os
Source: Alexandria via LeMat-Bulk
Functional: PBE
Structure: optimized geometry

Structure (POSCAR):
```
TiCu2Os
1.0
3.2227 -1.5368 -2.3045
0.8593 -4.1613 0.0588
-0.7869 -2.3807 -3.4309
Ti Cu Os
1 2 1
Direct
0.0000 0.0000 0.0000
0.2500 0.2500 0.2500
0.7500 0.7500 0.7500
0.5000 0.5000 0.5000
```

total moment = 0.0000 μB/atom
density = 11.18 g/cm3
space group = Fm-3m (225)
energy of formation from the pure elements = 114 meV per atom
calculated volume = 13.6 A^3/atom



5.
Compound: CeNd3Sb4
Source: Alexandria via LeMat-Bulk
Functional: PBE
Structure: optimized geometry

Structure (POSCAR):
```
CeNd3Sb4
1.0
-4.4969 -0.0820 0.3827
-0.6355 -1.1472 -7.7143
0.4348 -6.9198 3.6273
Ce Nd Sb
1 3 4
Direct
0.5000 0.0000 0.0000
0.0000 0.5000 0.0000
0.0000 0.0000 0.5000
0.5000 0.5000 0.5000
0.0000 0.2477 0.2477
0.5000 0.2484 0.7516
0.0000 0.7523 0.7523
0.5000 0.7516 0.2484
```

total moment = 0.0894 μB/atom
density = 6.75 g/cm3
formation energy without anion corrections = -1.156 eV per atom
space group = Cmmm (65)
calculated volume = 32.6 A^3/atom



6.
Compound: CuSbMo4
Source: Alexandria via LeMat-Bulk
Functional: PBE
Structure: optimized geometry

Structure (POSCAR):
```
CuSbMo4
1.0
0.0000 3.7361 3.7361
3.7361 0.0000 3.7361
3.7361 3.7361 0.0000
Mo Cu Sb
4 1 1
Direct
0.6270 0.6270 0.1190
0.6270 0.6270 0.6270
0.6270 0.1190 0.6270
0.1190 0.6270 0.6270
0.0000 0.0000 0.0000
0.2500 0.2500 0.2500
```

total moment = 0.0000 μB/atom
density = 9.06 g/cm3
formation energy without anion corrections = 0.574 eV per atom
space group = F-43m (216)
calculated volume = 17.4 A^3/atom